No. 1
# Na2LiCe

An optimized crystal structure of Na2LiCe (PBE-GGA, Alexandria).

DFT formation energy: 0.22 eV/atom
theoretical density: 2.9 g/cm³
E: -9.61 eV for the cell shown
spin magnetization: 0.70 μB per formula unit
crystal system: trigonal

Lattice parameters (Å, degrees): 3.2065 3.2065 12.6883 82.74 82.74 60.00
Last column: nearest neighbours and their distance in Å.
Atoms (fractional coordinates):
Na 0.0906 0.0906 0.7282  6 Na 3.21, 3 Li 3.41, 1 Ce 3.41
Na 0.9094 0.9094 0.2718  6 Na 3.21, 3 Li 3.41, 1 Ce 3.41
Ce 0.0000 0.0000 0.0000  6 Ce 3.21, 2 Na 3.41
Li 0.5000 0.5000 0.5000  6 Li 3.21, 6 Na 3.41



No. 2
# Na2LiCeO4

An optimized crystal structure of Na2LiCeO4 (PBE-GGA, Alexandria).

theoretical density: 4.2 g/cm³
uncorrected formation energy: -1.985 eV per atom
E: -92.40 eV for the cell shown
spin magnetization: 1.00 μB per formula unit
crystal system: orthorhombic

Lattice parameters (Å, degrees): 3.2704 5.6946 11.4434 90.00 90.00 106.69
Last column: nearest neighbours and their distance in Å.
Atoms (fractional coordinates):
Na 0.3618 0.7235 0.5512  6 O 2.30-2.57
Na 0.6382 0.2765 0.0512  6 O 2.30-2.57
Na 0.6382 0.2765 0.4488  6 O 2.30-2.57
Na 0.3618 0.7235 0.9488  6 O 2.30-2.57
Li 0.8437 0.6875 0.7500  4 O 1.96-2.04
Li 0.1563 0.3125 0.2500  4 O 1.96-2.04
Ce 0.1078 0.2155 0.7500  6 O 2.32-2.33
Ce 0.8922 0.7845 0.2500  6 O 2.32-2.33
O 0.2944 0.5889 0.1403  1 Li 1.96
O 0.7056 0.4111 0.6403  1 Li 1.96
O 0.7056 0.4111 0.8597  1 Li 1.96
O 0.2944 0.5889 0.3597  1 Li 1.96
O 0.0000 0.0000 0.5000  4 Na 2.30
O 0.0000 0.0000 0.0000  4 Na 2.30
O 0.4558 0.9117 0.7500  2 Li 2.04
O 0.5442 0.0883 0.2500  2 Li 2.04



No. 3
# Na3LiCe3O8

An optimized crystal structure of Na3LiCe3O8 (PBE-GGA, Alexandria).

theoretical density: 4.5 g/cm³
uncorrected formation energy: -2.586 eV per atom
E: -102.12 eV for the cell shown
spin magnetization: 0.00 μB per formula unit
crystal system: trigonal

Lattice parameters (Å, degrees): 6.9504 6.9497 6.7879 120.81 90.00 120.00
Last column: nearest neighbours and their distance in Å.
Atoms (fractional coordinates):
Na 0.0000 0.0000 0.0000  6 O 2.51-2.64
Na 0.0000 0.5000 0.0000  6 O 2.51-2.64
Na 0.5000 0.5000 0.0000  6 O 2.51-2.64
Li 0.0000 0.0000 0.5000  6 O 2.33
Ce 0.5000 0.0000 0.5000  6 O 2.24-2.35
Ce 0.5000 0.5000 0.5000  6 O 2.24-2.35
Ce 0.0000 0.5000 0.5000  6 O 2.24-2.35
O 0.2583 0.5166 0.2750  3 Ce 2.35, 3 Na 2.51
O 0.7417 0.4834 0.7250  3 Ce 2.35, 3 Na 2.51
O 0.7630 0.5260 0.3065  2 Ce 2.24, 1 Li 2.33
O 0.2370 0.4740 0.6935  2 Ce 2.24, 1 Li 2.33
O 0.7629 0.0433 0.3064  2 Ce 2.24, 1 Li 2.33
O 0.2371 0.9567 0.6936  2 Ce 2.24, 1 Li 2.33
O 0.2805 0.0434 0.3064  2 Ce 2.24, 1 Li 2.33
O 0.7195 0.9566 0.6936  2 Ce 2.24, 1 Li 2.33



No. 4
# Na2Li2CeO4

An optimized crystal structure of Na2Li2CeO4 (PBE-GGA, Alexandria).

theoretical density: 3.5 g/cm³
uncorrected formation energy: -2.242 eV per atom
E: -52.41 eV for the cell shown
spin magnetization: 0.00 μB per formula unit
crystal system: monoclinic

Lattice parameters (Å, degrees): 3.4695 6.6549 8.0404 134.05 90.00 105.11
Last column: nearest neighbours and their distance in Å.
Atoms (fractional coordinates):
Na 0.8249 0.6498 0.4301  5 O 2.45-2.53
Na 0.1751 0.3502 0.5699  5 O 2.45-2.53
Li 0.3440 0.6880 0.0719  4 O 1.94-2.09
Li 0.6560 0.3120 0.9281  4 O 1.94-2.09
Ce 0.0000 0.0000 0.0000  6 O 2.20-2.31
O 0.7804 0.5608 0.8728  3 Li 1.94-2.09
O 0.2196 0.4392 0.1272  3 Li 1.94-2.09
O 0.5629 0.1258 0.2486  1 Li 2.04
O 0.4371 0.8742 0.7514  1 Li 2.04



No. 5
# NaLiCeO3

An optimized crystal structure of NaLiCeO3 (PBE-GGA, Alexandria).

theoretical density: 4.3 g/cm³
uncorrected formation energy: -2.474 eV per atom
E: -77.78 eV for the cell shown
spin magnetization: 0.00 μB per formula unit
crystal system: orthorhombic

Lattice parameters (Å, degrees): 3.5167 5.5330 9.1353 90.00 90.00 108.53
Last column: nearest neighbours and their distance in Å.
Atoms (fractional coordinates):
Na 0.7336 0.4671 0.7500  2 O 2.55, 1 Li 2.81
Na 0.2664 0.5329 0.2500  2 O 2.55, 1 Li 2.81
Li 0.4658 0.9315 0.7500  4 O 1.88-2.00
Li 0.5342 0.0685 0.2500  4 O 1.88-2.00
Ce 0.0000 0.0000 0.5000  6 O 2.24-2.36
Ce 0.0000 0.0000 0.0000  6 O 2.24-2.36
O 0.6184 0.2369 0.4316  1 Li 1.88
O 0.3816 0.7631 0.5684  1 Li 1.88
O 0.3816 0.7631 0.9316  1 Li 1.88
O 0.6184 0.2369 0.0684  1 Li 1.88
O 0.0574 0.1149 0.7500  2 Li 2.00
O 0.9426 0.8851 0.2500  2 Li 2.00